Entry 1:
VASP calculation (PBE-GGA) on a relaxed structure of Ac2MgSnPt.

As for the symmetry: P2_1/m, No. 11. Its crystal system is monoclinic. The value obtained for the formation energy is -0.804 eV/atom.

abc: 4.7060 8.2093 8.2349
angles: 109.57 90.00 90.00
Fractional positions:
Ac 0.2500 0.1012 0.3340
Sn 0.2500 0.6687 0.3428
Mg 0.2500 0.5600 0.6629
Mg 0.7500 0.4400 0.3371
Pt 0.2500 0.8828 0.9079
Ac 0.2500 0.2905 0.9640
Pt 0.7500 0.1172 0.0921
Sn 0.7500 0.3313 0.6572
Ac 0.7500 0.8988 0.6660
Ac 0.7500 0.7095 0.0360

=====

Entry 2:
VASP calculation (PBE-GGA) on a relaxed structure of Pd6PtPb2.

As for the symmetry: Fmmm, No. 69. Its crystal system is orthorhombic. The distance to the lowest polymorph of the same formula comes out at 0 meV/atom. The value obtained for the formation energy is -0.144 eV/atom.

abc: 4.2308 6.0934 6.8085
angles: 83.81 71.90 69.69
Fractional positions:
Pd 0.6748 0.1505 0.5000
Pd 0.3354 0.1675 0.1617
Pb 0.3494 0.5000 0.8012
Pd 0.9971 0.1675 0.8383
Pd 0.6646 0.8325 0.8383
Pt 0.0000 0.5000 0.5000
Pd 0.0029 0.8325 0.1617
Pd 0.3252 0.8495 0.5000
Pb 0.6506 0.5000 0.1988

=====

Entry 3:
VASP calculation (PBE-GGA) on a relaxed structure of PaTl3Se3.

As for the symmetry: P2_1/m, No. 11. The calculation puts the formation energy without anion corrections at -0.7232 eV per atom. Its crystal system is monoclinic.

abc: 4.1202 9.0871 12.1357
angles: 91.90 90.00 90.00
Fractional positions:
Tl 0.2500 0.3754 0.8821
Tl 0.7500 0.6246 0.1179
Tl 0.7500 0.1523 0.1260
Se 0.7500 0.0993 0.3900
Tl 0.7500 0.6244 0.6472
Se 0.2500 0.8867 0.1405
Pa 0.7500 0.1245 0.6286
Se 0.2500 0.9007 0.6100
Tl 0.2500 0.3756 0.3528
Se 0.7500 0.6552 0.3791
Pa 0.2500 0.8755 0.3714
Tl 0.2500 0.8477 0.8740
Se 0.2500 0.3448 0.6209
Se 0.7500 0.1133 0.8595

=====

Entry 4:
VASP calculation (PBE-GGA) on a relaxed structure of NaY2ScFe.

As for the symmetry: P4/mmm, No. 123. Its crystal system is tetragonal. The value obtained for the formation energy is 0.140 eV/atom.

abc: 5.3207 5.3207 4.9265
angles: 90.00 90.00 90.00
Fractional positions:
Y 0.5000 0.0000 0.0000
Fe 0.0000 0.0000 0.0000
Na 0.5000 0.5000 0.5000
Sc 0.0000 0.0000 0.5000
Y 0.0000 0.5000 0.0000

=====

Entry 5:
VASP calculation (PBE-GGA) on a relaxed structure of Tl2Pb3F8.

As for the symmetry: P2/m, No. 10. The calculation puts the formation energy without anion corrections at -2.1640 eV per atom. Its crystal system is monoclinic. The distance to the lowest polymorph of the same formula comes out at 0 meV/atom.

abc: 4.0267 7.7783 10.1043
angles: 71.82 90.00 90.00
Fractional positions:
F 0.0000 0.9581 0.8616
Pb 0.5000 0.0000 0.0000
F 0.5000 0.7047 0.1855
Pb 0.0000 0.7319 0.3376
F 0.5000 0.2953 0.8145
Pb 0.0000 0.2681 0.6624
Tl 0.5000 0.2440 0.3059
F 0.0000 0.0419 0.1384
F 0.0000 0.6034 0.5995
Tl 0.5000 0.7560 0.6941
F 0.0000 0.3966 0.4005
F 0.5000 0.8660 0.4171
F 0.5000 0.1340 0.5829

=====

Entry 6:
VASP calculation (PBE-GGA) on a relaxed structure of AcGeB.

As for the symmetry: P-6m2, No. 187. Its crystal system is hexagonal. The distance to the lowest polymorph of the same formula comes out at 0 meV/atom. The value obtained for the formation energy is -0.289 eV/atom.

abc: 4.8640 3.7564 3.7564
angles: 120.00 90.00 90.00
Fractional positions:
Ac 0.6665 0.6667 0.3333
B 0.1672 0.3333 0.6667
Ge 0.1663 0.0000 0.0000

=====

Entry 7:
VASP calculation (PBE-GGA) on a relaxed structure of ReAg2B2.

As for the symmetry: P4/mmm, No. 123. Its crystal system is tetragonal. The distance to the lowest polymorph of the same formula comes out at 0 meV/atom. The value obtained for the formation energy is 0.650 eV/atom.

abc: 5.9200 5.9200 4.3686
angles: 90.00 90.00 90.00
Fractional positions:
Ag 0.7498 0.7502 0.5000
B 0.7499 0.7501 0.0000
B 0.2501 0.2499 0.0000
Ag 0.2502 0.2498 0.5000
Ag 0.2498 0.7498 0.5000
B 0.2499 0.7499 0.0000
B 0.7501 0.2501 0.0000
Re 0.5000 0.5000 0.0000
Re 0.0000 0.0000 0.0000
Ag 0.7502 0.2502 0.5000

=====

Entry 8:
VASP calculation (PBE-GGA) on a relaxed structure of Tb5NdEr2.

As for the symmetry: P-1, No. 2. Its crystal system is triclinic. The value obtained for the formation energy is 0.017 eV/atom.

abc: 6.1617 10.6881 9.4232
angles: 104.61 70.87 118.76
Fractional positions:
Tb 0.9384 0.0322 0.8442
Er 0.0615 0.4681 0.6577
Tb 0.6873 0.1559 0.2181
Er 0.1868 0.4067 0.9690
Er 0.9385 0.5319 0.3423
Tb 0.8112 0.0928 0.5319
Tb 0.3127 0.8441 0.7819
Tb 0.5636 0.2198 0.9057
Tb 0.5615 0.7182 0.4058
Tb 0.0616 0.9678 0.1558
Tb 0.1888 0.9072 0.4681
Tb 0.4385 0.2818 0.5942
Tb 0.4364 0.7802 0.0943
Er 0.8132 0.5933 0.0310
Nd 0.3125 0.3439 0.2812
Nd 0.6875 0.6561 0.7188

=====

Entry 9:
VASP calculation (PBE-GGA) on a relaxed structure of PaGa4Pt2.

As for the symmetry: Pnma, No. 62. Its crystal system is orthorhombic. The distance to the lowest polymorph of the same formula comes out at 0 meV/atom. The value obtained for the formation energy is -0.705 eV/atom.

abc: 4.3753 6.6817 16.9952
angles: 90.00 90.00 90.00
Fractional positions:
Pt 0.2500 0.5322 0.2823
Ga 0.2500 0.8264 0.1834
Pt 0.7500 0.0322 0.2177
Ga 0.7500 0.7282 0.3109
Ga 0.7500 0.9824 0.0679
Ga 0.2500 0.2282 0.1891
Ga 0.2500 0.3374 0.0384
Ga 0.2500 0.0176 0.9321
Ga 0.7500 0.3264 0.3166
Pt 0.7500 0.2362 0.4644
Pt 0.2500 0.7638 0.5356
Ga 0.2500 0.2718 0.6891
Pa 0.2500 0.4848 0.8632
Ga 0.2500 0.1626 0.5384
Ga 0.7500 0.6626 0.9616
Pt 0.2500 0.9678 0.7823
Pa 0.2500 0.0152 0.3631
Ga 0.2500 0.4824 0.4321
Ga 0.2500 0.6736 0.6834
Pa 0.7500 0.5152 0.1368
Ga 0.7500 0.7718 0.8109
Pt 0.7500 0.4678 0.7177
Pa 0.7500 0.9848 0.6368
Ga 0.7500 0.5176 0.5679
Pt 0.2500 0.7362 0.0356
Pt 0.7500 0.2638 0.9644
Ga 0.7500 0.1736 0.8166
Ga 0.7500 0.8374 0.4616

=====

Entry 10:
VASP calculation (PBE-GGA) on a relaxed structure of Er5Tm2Pb5.

As for the symmetry: C2/m, No. 12. Its crystal system is monoclinic. The value obtained for the formation energy is -0.327 eV/atom.

abc: 4.8884 7.0274 11.8649
angles: 110.58 90.00 110.35
Fractional positions:
Tm 0.0806 0.1613 0.7613
Pb 0.8670 0.7341 0.5299
Er 0.6525 0.3049 0.0080
Pb 0.0000 0.0000 0.0000
Pb 0.7340 0.4680 0.7863
Tm 0.9194 0.8387 0.2387
Er 0.6524 0.3048 0.3014
Er 0.3476 0.6952 0.6986
Pb 0.2660 0.5320 0.2137
Pb 0.1330 0.2659 0.4701
Er 0.3475 0.6951 0.9920
Er 0.5000 0.0000 0.5000

=====

no.,calculated total energy (eV/atom)
1,-4.775
2,-5.101
3,-4.587
4,-5.668
5,-4.535
6,-5.423
7,-5.652
8,-4.614
9,-5.517
10,-4.519